Record 1
The following is a DFT calculation (GGA-PBEsol) of a geometry-optimized ZrTa2Ti structure.

abc: 4.6828 4.6828 4.6828
angles: 60.00 60.00 60.00
Last column: nearest neighbours and their distance in Å.
Fractional coordinates of all 4 atoms:
Ti 0.0000 0.0000 0.0000  8 Ta 2.87
Zr 0.5000 0.5000 0.5000  8 Ta 2.87
Ta 0.2500 0.2500 0.2500  4 Zr 2.87, 4 Ti 2.87
Ta 0.7500 0.7500 0.7500  4 Zr 2.87, 4 Ti 2.87

Results
SG = Fm-3m (225)
mass density = 11.46 g/cm3
total DFT energy (no corrections) = -10.45 eV/atom
D(E_F) = 2.00 states/eV per atom

***

Record 2
The following is a DFT calculation (GGA-PBEsol) of a geometry-optimized Zr3TaTi structure.

abc: 5.0185 5.0185 5.0185
angles: 90.00 90.00 90.00
Last column: nearest neighbours and their distance in Å.
Fractional coordinates of all 5 atoms:
Ti 0.5000 0.5000 0.5000  12 Zr 3.55
Zr 0.0000 0.5000 0.0000  2 Ta 2.51
Zr 0.0000 0.0000 0.5000  2 Ta 2.51
Zr 0.5000 0.0000 0.0000  2 Ta 2.51
Ta 0.0000 0.0000 0.0000  6 Zr 2.51

Results
SG = Pm-3m (221)
mass density = 6.60 g/cm3
total DFT energy (no corrections) = -8.51 eV/atom
D(E_F) = 1.79 states/eV per atom

***

Record 3
The following is a DFT calculation (GGA-PBEsol) of a geometry-optimized Ta3Tl structure.

abc: 3.4214 3.4214 6.3360
angles: 90.00 90.00 90.00
Last column: nearest neighbours and their distance in Å.
Fractional coordinates of all 4 atoms:
Ta 0.0000 0.0000 0.7710  5 Ta 2.82-2.90, 4 Tl 2.97
Ta 0.5000 0.5000 0.0000  8 Ta 2.82
Ta 0.0000 0.0000 0.2290  5 Ta 2.82-2.90, 4 Tl 2.97
Tl 0.5000 0.5000 0.5000  10 Ta 2.97-3.17

Results
SG = P4/mmm (123)
mass density = 16.73 g/cm3
total DFT energy (no corrections) = -9.89 eV/atom
D(E_F) = 0.48 states/eV per atom

***

Record 4
The following is a DFT calculation (GGA-PBEsol) of a geometry-optimized Ta3Tl structure.

abc: 2.9199 5.1239 5.2501
angles: 97.08 90.00 106.55
Last column: nearest neighbours and their distance in Å.
Fractional coordinates of all 4 atoms:
Ta 0.5000 0.0000 0.5000  8 Ta 2.89-3.02, 4 Tl 3.00
Ta 0.2524 0.5047 0.7431  9 Ta 2.89-3.07, 3 Tl 2.97-3.00
Ta 0.7476 0.4953 0.2569  9 Ta 2.89-3.07, 3 Tl 2.97-3.00
Tl 0.0000 0.0000 0.0000  2 Tl 2.92, 10 Ta 2.97-3.00

Results
SG = C2/m (12)
mass density = 16.62 g/cm3
total DFT energy (no corrections) = -9.73 eV/atom
D(E_F) = 0.62 states/eV per atom